This record from Alexandria via LeMat-Bulk describes TbLu2Pa after structural relaxation. The functional is PBE.

Lattice parameters (Å, degrees): 5.677 5.677 3.562 90.00 90.00 90.00
Element x y z (fractional)
Tb 0.000 0.000 0.000
Lu 0.000 0.500 0.500
Lu 0.500 0.000 0.500
Pa 0.500 0.500 0.000

Results
DOS(E_F) ... 7.346 states/eV/cell
Calculated formation energy ... 25.49 kJ per mole of atoms
Volume ... 28.7 A^3/atom
Relative energy among the computed polymorphs ... 0.145 eV per atom
Space group ... P4/mmm